1.
The following is a DFT calculation (PBE-GGA) of crystalline SrTaAl2 at its relaxed geometry.

Values from the calculation:
Total moment   1.98 μB per cell
Space group   No. 122
Electronic total energy   -4.564 eV per atom
Energy above the most stable polymorph in this dataset   693 meV/atom

Cell lengths 10.0098, 10.0098, 10.0098 Å; angles 151.23, 151.23, 41.13 degrees
Positions (direct):
Sr: 0.0000 0.0000 0.0000
Sr: 0.7500 0.2500 0.5000
Ta: 0.2500 0.7500 0.5000
Ta: 0.5000 0.5000 0.0000
Al: 0.2897 0.6250 0.1647
Al: 0.3750 0.5397 0.6647
Al: 0.4603 0.1250 0.8353
Al: 0.8750 0.7103 0.3353

2.
The following is a DFT calculation (PBE-GGA) of crystalline K2ScCu at its relaxed geometry.

Values from the calculation:
Total moment   0.96 μB per cell
Space group   No. 139
Electronic total energy   -2.456 eV per atom
Energy above the most stable polymorph in this dataset   445 meV/atom

Cell lengths 6.9306, 6.9306, 6.9306 Å; angles 142.23, 142.23, 54.48 degrees
Positions (direct):
K: 0.2500 0.7500 0.5000
K: 0.7500 0.2500 0.5000
Sc: 0.0000 0.0000 0.0000
Cu: 0.5000 0.5000 0.0000

3.
The following is a DFT calculation (PBE-GGA) of crystalline LaTl3Tc2O9 at its relaxed geometry.

Values from the calculation:
Total moment   0.00 μB per cell
Formation energy without anion corrections   -1.4765 eV per atom
Space group   No. 164
Electronic total energy   -6.635 eV per atom

Cell lengths 5.8845, 5.8845, 7.4490 Å; angles 90.00, 90.00, 120.00 degrees
Positions (direct):
La: 0.0000 0.0000 0.0000
Tl: 0.0000 0.0000 0.5000
Tl: 0.3333 0.6667 0.1866
Tl: 0.6667 0.3333 0.8134
Tc: 0.3333 0.6667 0.6534
Tc: 0.6667 0.3333 0.3466
O: 0.0000 0.5000 0.5000
O: 0.1818 0.3636 0.7956
O: 0.1818 0.8182 0.7956
O: 0.3636 0.1818 0.2044
O: 0.5000 0.0000 0.5000
O: 0.5000 0.5000 0.5000
O: 0.6364 0.8182 0.7956
O: 0.8182 0.1818 0.2044
O: 0.8182 0.6364 0.2044

4.
The following is a DFT calculation (PBE-GGA) of crystalline SbO at its relaxed geometry.

Values from the calculation:
Total moment   0.00 μB per cell
Formation energy without anion corrections   -0.3029 eV per atom
Space group   No. 186
Electronic total energy   -4.843 eV per atom

Cell lengths 4.1931, 4.1931, 5.2277 Å; angles 90.00, 90.00, 120.00 degrees
Positions (direct):
Sb: 0.3333 0.6667 0.0000
Sb: 0.6667 0.3333 0.5000
O: 0.3333 0.6667 0.4243
O: 0.6667 0.3333 0.9243